A relaxed structure of Mn3NbP6O24, computed with PBE+U.

- DFT total energy (eV/f.u.) = -249.2
- space-group type = No. 146
- spin magnetization (μB per formula unit) = 7.98
- volume (Å³/cell) = 445

Cell lengths 8.7956, 8.7956, 8.7956 Å; angles 56.75, 56.75, 56.75 degrees
Each line ends with the local moment (μB).
Positions (direct):
1 P 0.7513 0.0351 0.4571  0.01
2 P 0.0351 0.4571 0.7513  0.01
3 P 0.4571 0.7513 0.0351  0.01
4 P 0.5224 0.2649 0.9683  0.01
5 P 0.9683 0.5224 0.2649  0.01
6 P 0.2649 0.9683 0.5224  0.01
7 Nb 0.8615 0.8615 0.8615  0.02
8 Mn 0.1422 0.1422 0.1422  3.19
9 Mn 0.3530 0.3530 0.3530  3.16
10 Mn 0.6488 0.6488 0.6488  3.33
11 O 0.2320 0.1638 0.5152  -0.08
12 O 0.5152 0.2320 0.1638  -0.08
13 O 0.8962 0.1114 0.2558  -0.12
14 O 0.1638 0.5152 0.2320  -0.08
15 O 0.5436 0.1855 0.4798  -0.08
16 O 0.8017 0.0024 0.6188  -0.03
17 O 0.1114 0.2558 0.8962  -0.12
18 O 0.1855 0.4798 0.5436  -0.08
19 O 0.4798 0.5436 0.1855  -0.08
20 O 0.3687 0.2125 0.9908  -0.07
21 O 0.7244 0.1139 0.8959  -0.03
22 O 0.9908 0.3687 0.2125  -0.07
23 O 0.0024 0.6188 0.8017  -0.03
24 O 0.2558 0.8962 0.1114  -0.12
25 O 0.6188 0.8017 0.0024  -0.03
26 O 0.5044 0.4708 0.8172  -0.07
27 O 0.8172 0.5044 0.4708  -0.07
28 O 0.8959 0.7244 0.1139  -0.03
29 O 0.2125 0.9908 0.3687  -0.07
30 O 0.4708 0.8172 0.5044  -0.07
31 O 0.8361 0.4769 0.7775  -0.11
32 O 0.1139 0.8959 0.7244  -0.03
33 O 0.4769 0.7775 0.8361  -0.11
34 O 0.7775 0.8361 0.4769  -0.11